(1)
Computed, not measured: an optimized crystal structure of Pm4YMg5 at the PBE level of DFT.

Values from the calculation:
**Space-group type**: No. 123
**Size of the total moment**: 0.00 μB/f.u.
**Formation enthalpy at 0 K**: -1.06 eV/f.u.
**Fermi-level density of states**: 1.271 states/eV per atom

Cell: 3.8457 3.8457 19.3183 Å, 90.00 90.00 90.00°
Fractional positions:
Pm 0.0000 0.0000 0.1976
Pm 0.0000 0.0000 0.3988
Pm 0.0000 0.0000 0.8024
Pm 0.0000 0.0000 0.6012
Mg 0.5000 0.5000 0.5000
Mg 0.5000 0.5000 0.7021
Mg 0.5000 0.5000 0.2979
Mg 0.5000 0.5000 0.0966
Mg 0.5000 0.5000 0.9034
Y 0.0000 0.0000 0.0000

=====

(2)
Computed, not measured: an optimized crystal structure of Pm5YMg3 at the PBE level of DFT.

Values from the calculation:
**Space-group type**: No. 193
**Size of the total moment**: 0.00 μB/f.u.
**Formation enthalpy at 0 K**: -0.05 eV/f.u.
**Fermi-level density of states**: 1.075 states/eV per atom

Cell: 7.0392 9.5582 9.5578 Å, 120.00 90.00 90.00°
Fractional positions:
Mg 0.7500 0.6706 0.0000
Mg 0.2500 0.6706 0.6706
Mg 0.2500 0.0000 0.3294
Mg 0.7500 0.3294 0.3294
Mg 0.2500 0.3294 0.0000
Mg 0.7500 0.0000 0.6706
Pm 0.2500 0.3337 0.3337
Pm 0.2500 0.0000 0.6663
Pm 0.7500 0.3337 0.0000
Pm 0.7500 0.0000 0.3337
Pm 0.2500 0.6663 0.0000
Pm 0.5000 0.6666 0.3333
Pm 0.5000 0.3334 0.6667
Pm 0.0000 0.6666 0.3333
Pm 0.7500 0.6663 0.6663
Pm 0.0000 0.3334 0.6667
Y 0.5000 0.0000 0.0000
Y 0.0000 0.0000 0.0000

=====

(3)
Computed, not measured: an optimized crystal structure of Pm6Y2Mg at the PBE level of DFT.

Values from the calculation:
**Space-group type**: No. 72
**Energy above the lowest structure with this stoichiometry**: 0.36 eV/f.u.
**Size of the total moment**: 0.00 μB/f.u.
**Formation enthalpy at 0 K**: 0.56 eV/f.u.
**Fermi-level density of states**: 1.336 states/eV per atom

Cell: 6.1581 11.5649 11.5649 Å, 48.41 105.45 105.45°
Fractional positions:
Pm 0.4189 0.4186 0.9189
Pm 0.9292 0.5044 0.6533
Pm 0.0811 0.0811 0.5814
Pm 0.5708 0.3467 0.4956
Pm 0.4292 0.6533 0.5044
Pm 0.0708 0.4956 0.3467
Pm 0.5811 0.5814 0.0811
Pm 0.2710 0.8465 0.9958
Pm 0.9189 0.9189 0.4186
Pm 0.7710 0.9958 0.8465
Pm 0.2290 0.0042 0.1535
Pm 0.7290 0.1535 0.0042
Mg 0.7500 0.7501 0.2499
Mg 0.2500 0.2499 0.7501
Y 0.4456 0.8294 0.6704
Y 0.9456 0.6704 0.8294
Y 0.5544 0.1706 0.3296
Y 0.0544 0.3296 0.1706

=====

(4)
Computed, not measured: an optimized crystal structure of Pm2YMg4 at the PBE level of DFT.

Values from the calculation:
**Space-group type**: No. 139
**Energy above the lowest structure with this stoichiometry**: 3.41 eV/f.u.
**Size of the total moment**: 0.00 μB/f.u.
**Formation enthalpy at 0 K**: 3.76 eV/f.u.
**Fermi-level density of states**: 1.289 states/eV per atom

Cell: 5.5852 5.5852 9.0494 Å, 107.97 107.97 90.00°
Fractional positions:
Pm 0.3941 0.3941 0.7882
Pm 0.6059 0.6059 0.2118
Mg 0.1866 0.1866 0.3732
Mg 0.8134 0.8134 0.6268
Mg 0.5000 0.0000 0.0000
Mg 0.0000 0.5000 0.0000
Y 0.0000 0.0000 0.0000

=====

(5)
Computed, not measured: an optimized crystal structure of PmY3Mg at the PBE level of DFT.

Values from the calculation:
**Space-group type**: No. 12
**Energy above the lowest structure with this stoichiometry**: 0.00 eV/f.u.
**Size of the total moment**: 0.00 μB/f.u.
**Formation enthalpy at 0 K**: -0.12 eV/f.u.
**Fermi-level density of states**: 1.440 states/eV per atom

Cell: 3.7304 6.7717 12.8278 Å, 87.12 90.00 74.01°
Fractional positions:
Y 0.0363 0.9274 0.1870
Y 0.6348 0.7303 0.9757
Y 0.9637 0.0726 0.8130
Y 0.3652 0.2697 0.0243
Y 0.8534 0.2932 0.5550
Y 0.1466 0.7068 0.4450
Mg 0.4445 0.1110 0.3731
Mg 0.5555 0.8890 0.6269
Pm 0.7658 0.4684 0.2439
Pm 0.2342 0.5316 0.7561

=====

(6)
Computed, not measured: an optimized crystal structure of PmY2Mg at the PBE level of DFT.

Values from the calculation:
**Space-group type**: No. 225
**Energy above the lowest structure with this stoichiometry**: 0.44 eV/f.u.
**Size of the total moment**: 0.04 μB/f.u.
**Formation enthalpy at 0 K**: 0.30 eV/f.u.
**Fermi-level density of states**: 1.521 states/eV per atom

Cell: 5.5617 5.5617 5.5617 Å, 60.00 60.00 60.00°
Fractional positions:
Mg 0.5000 0.5000 0.5000
Pm 0.0000 0.0000 0.0000
Y 0.2500 0.2500 0.2500
Y 0.7500 0.7500 0.7500

=====

Copy entry 2 word for word.
Computed, not measured: an optimized crystal structure of Pm5YMg3 at the PBE level of DFT.

Values from the calculation:
**Space-group type**: No. 193
**Size of the total moment**: 0.00 μB/f.u.
**Formation enthalpy at 0 K**: -0.05 eV/f.u.
**Fermi-level density of states**: 1.075 states/eV per atom

Cell: 7.0392 9.5582 9.5578 Å, 120.00 90.00 90.00°
Fractional positions:
Mg 0.7500 0.6706 0.0000
Mg 0.2500 0.6706 0.6706
Mg 0.2500 0.0000 0.3294
Mg 0.7500 0.3294 0.3294
Mg 0.2500 0.3294 0.0000
Mg 0.7500 0.0000 0.6706
Pm 0.2500 0.3337 0.3337
Pm 0.2500 0.0000 0.6663
Pm 0.7500 0.3337 0.0000
Pm 0.7500 0.0000 0.3337
Pm 0.2500 0.6663 0.0000
Pm 0.5000 0.6666 0.3333
Pm 0.5000 0.3334 0.6667
Pm 0.0000 0.6666 0.3333
Pm 0.7500 0.6663 0.6663
Pm 0.0000 0.3334 0.6667
Y 0.5000 0.0000 0.0000
Y 0.0000 0.0000 0.0000

=====

> Fermi-level density of states of number 2 (Pm5YMg3)?

1.075 states/eV per atom

=====

> size of the total moment of number 3 (Pm6Y2Mg)?

0.00 μB/f.u.